# Tl2Cr2AsS6, optimized geometry, DFT PBE
# - E_tot: -5.3449 eV/atom
# - Magnetization: 5.00 μB per formula unit
data_Tl2Cr2AsS6
_symmetry_space_group_name_H-M 'C 1 2/m 1'
_symmetry_Int_Tables_number 12
_cell_length_a 6.197
_cell_length_b 10.733
_cell_length_c 7.704
_cell_angle_alpha 90.00
_cell_angle_beta 104.91
_cell_angle_gamma 90.00
loop_
_symmetry_equiv_pos_as_xyz
'x,y,z'
'-x,-y,-z'
'-x,y,-z'
'x,-y,z'
'x+1/2,y+1/2,z'
'-x+1/2,-y+1/2,-z'
'-x+1/2,y+1/2,-z'
'x+1/2,-y+1/2,z'
loop_
_atom_site_label
_atom_site_fract_x
_atom_site_fract_y
_atom_site_fract_z
_atom_site_occupancy
Tl1 0.000 0.164 0.000 1
Cr1 0.000 0.332 0.500 1
As1 0.000 0.000 0.500 1
S1 0.209 0.500 0.673 1
S2 0.228 0.172 0.673 1